First-principles (GGA-PBE) data for crystalline Cs3Ga2Sb4 at its relaxed geometry, as listed in Alexandria via LeMat-Bulk.

Values from the calculation:
uncorrected formation energy: -3.0 eV per formula unit
total magnetization: 0.00 μB per formula unit
polymorph energy (0 for the lowest one): 0.0 meV per atom

Structure (CIF):
```
data_Cs3Ga2Sb4
_cell_length_a 4.538
_cell_length_b 8.950
_cell_length_c 10.115
_cell_angle_alpha 66.97
_cell_angle_beta 77.06
_cell_angle_gamma 90.00
_symmetry_space_group_name_H-M 'P -1'
_symmetry_Int_Tables_number 2
_symmetry_space_group_name_Hall '-P 1'
loop_
_atom_site_label
_atom_site_type_symbol
_atom_site_fract_x
_atom_site_fract_y
_atom_site_fract_z
Cs1 Cs 0.000 0.000 0.000
Cs2 Cs 0.149 0.751 0.701
Ga1 Ga 0.328 0.573 0.344
Sb1 Sb 0.202 0.283 0.597
Sb2 Sb 0.478 0.629 0.044
```

=====

First-principles (GGA-PBE) data for crystalline CsGaSb at its relaxed geometry, as listed in Alexandria via LeMat-Bulk.

Values from the calculation:
uncorrected formation energy: -0.9 eV per formula unit
total magnetization: 0.00 μB per formula unit
polymorph energy (0 for the lowest one): 59.4 meV per atom

Structure (CIF):
```
data_CsGaSb
_cell_length_a 4.507
_cell_length_b 7.357
_cell_length_c 8.079
_cell_angle_alpha 100.04
_cell_angle_beta 106.20
_cell_angle_gamma 107.80
_symmetry_space_group_name_H-M 'P -1'
_symmetry_Int_Tables_number 2
_symmetry_space_group_name_Hall '-P 1'
loop_
_atom_site_label
_atom_site_type_symbol
_atom_site_fract_x
_atom_site_fract_y
_atom_site_fract_z
Cs1 Cs 0.248 0.302 0.195
Ga1 Ga 0.122 0.799 0.444
Sb1 Sb 0.437 0.135 0.741
```

=====

The records above give, respectively, mass density values of 4.6, 4.6 Mg/m³.